# Zn2ReAs

A relaxed structure of Zn2ReAs (PBE, Alexandria).

Unit cell a=3.2849 b=3.2849 c=5.5652 alpha=90.00 beta=90.00 gamma=90.00
Fractional coordinates of all 4 atoms:
Zn  0.0000  0.0000  0.0000
Zn  0.5000  0.5000  0.2238
Re  0.5000  0.5000  0.7271
As  0.0000  0.0000  0.5088

E: -19.1 eV/cell
D(E_F): 1.0 states/eV/f.u.
ρ: 10838 kg/m³

# ZnReAs4

A relaxed structure of ZnReAs4 (PBE, Alexandria).

Unit cell a=5.3935 b=5.3935 c=5.3935 alpha=60.00 beta=60.00 gamma=60.00
Fractional coordinates of all 6 atoms:
Zn  0.0000  0.0000  0.0000
Re  0.2500  0.2500  0.2500
As  0.1264  0.6245  0.6245
As  0.6245  0.1264  0.6245
As  0.6245  0.6245  0.1264
As  0.6245  0.6245  0.6245

E: -26.2 eV/cell
D(E_F): 5.1 states/eV/f.u.
ρ: 8251 kg/m³